# TlCu2Ni (GGA-PBE, optimized geometry)
# Electronic total energy: -3.847 eV per atom
data_TlCu2Ni
_chemical_formula_sum 'Tl1 Cu2 Ni1'
_space_group_name_H-M_alt 'P 1'
_space_group_IT_number 1
_cell_length_a 4.820
_cell_length_b 4.820
_cell_length_c 3.987
_cell_angle_alpha 112.54
_cell_angle_beta 112.54
_cell_angle_gamma 43.37
loop_
_space_group_symop_operation_xyz
'x,y,z'
loop_
_atom_site_label
_atom_site_type_symbol
_atom_site_fract_x
_atom_site_fract_y
_atom_site_fract_z
Tl1 Tl 0.000 0.000 0.000
Cu1 Cu 0.242 0.242 0.738
Cu2 Cu 0.758 0.758 0.262
Ni1 Ni 0.500 0.500 0.500

***

# TlCuNi (GGA-PBE, optimized geometry)
# Electronic total energy: -3.794 eV per atom
data_TlCuNi
_chemical_formula_sum 'Tl1 Cu1 Ni1'
_space_group_name_H-M_alt 'P 1'
_space_group_IT_number 1
_cell_length_a 5.040
_cell_length_b 5.040
_cell_length_c 5.040
_cell_angle_alpha 142.83
_cell_angle_beta 142.83
_cell_angle_gamma 53.57
loop_
_space_group_symop_operation_xyz
'x,y,z'
loop_
_atom_site_label
_atom_site_type_symbol
_atom_site_fract_x
_atom_site_fract_y
_atom_site_fract_z
Tl1 Tl 0.000 0.000 0.000
Cu1 Cu 0.690 0.690 0.000
Ni1 Ni 0.316 0.316 0.000

***

# TlCuNi4 (GGA-PBE, optimized geometry)
# Electronic total energy: -4.726 eV per atom
data_TlCuNi4
_chemical_formula_sum 'Tl1 Cu1 Ni4'
_space_group_name_H-M_alt 'P 1'
_space_group_IT_number 1
_cell_length_a 4.820
_cell_length_b 4.820
_cell_length_c 4.820
_cell_angle_alpha 60.00
_cell_angle_beta 60.00
_cell_angle_gamma 60.00
loop_
_space_group_symop_operation_xyz
'x,y,z'
loop_
_atom_site_label
_atom_site_type_symbol
_atom_site_fract_x
_atom_site_fract_y
_atom_site_fract_z
Tl1 Tl 0.000 0.000 0.000
Cu1 Cu 0.750 0.750 0.750
Ni1 Ni 0.376 0.376 0.376
Ni2 Ni 0.376 0.376 0.873
Ni3 Ni 0.376 0.873 0.376
Ni4 Ni 0.873 0.376 0.376

***

# TlCuNi2 (GGA-PBE, optimized geometry)
# Electronic total energy: -4.016 eV per atom
data_TlCuNi2
_chemical_formula_sum 'Tl2 Cu2 Ni4'
_space_group_name_H-M_alt 'P 1'
_space_group_IT_number 1
_cell_length_a 9.201
_cell_length_b 9.201
_cell_length_c 9.201
_cell_angle_alpha 156.32
_cell_angle_beta 156.32
_cell_angle_gamma 33.74
loop_
_space_group_symop_operation_xyz
'x,y,z'
loop_
_atom_site_label
_atom_site_type_symbol
_atom_site_fract_x
_atom_site_fract_y
_atom_site_fract_z
Tl1 Tl 0.000 0.000 0.000
Tl2 Tl 0.750 0.250 0.500
Cu1 Cu 0.250 0.750 0.500
Cu2 Cu 0.500 0.500 0.000
Ni1 Ni 0.173 0.625 0.048
Ni2 Ni 0.375 0.423 0.548
Ni3 Ni 0.577 0.125 0.952
Ni4 Ni 0.875 0.827 0.452

***

# TlCu2Ni (GGA-PBE, optimized geometry)
# Electronic total energy: -3.827 eV per atom
data_TlCu2Ni
_chemical_formula_sum 'Tl1 Cu2 Ni1'
_space_group_name_H-M_alt 'P 1'
_space_group_IT_number 1
_cell_length_a 3.191
_cell_length_b 3.191
_cell_length_c 5.857
_cell_angle_alpha 90.00
_cell_angle_beta 90.00
_cell_angle_gamma 90.00
loop_
_space_group_symop_operation_xyz
'x,y,z'
loop_
_atom_site_label
_atom_site_type_symbol
_atom_site_fract_x
_atom_site_fract_y
_atom_site_fract_z
Tl1 Tl 0.000 0.000 0.000
Cu1 Cu 0.500 0.500 0.294
Cu2 Cu 0.500 0.500 0.706
Ni1 Ni 0.000 0.000 0.500

***

# TlCu2Ni (GGA-PBE, optimized geometry)
# Electronic total energy: -3.753 eV per atom
data_TlCu2Ni
_chemical_formula_sum 'Tl1 Cu2 Ni1'
_space_group_name_H-M_alt 'P 1'
_space_group_IT_number 1
_cell_length_a 5.278
_cell_length_b 5.278
_cell_length_c 2.858
_cell_angle_alpha 104.33
_cell_angle_beta 104.33
_cell_angle_gamma 120.07
loop_
_space_group_symop_operation_xyz
'x,y,z'
loop_
_atom_site_label
_atom_site_type_symbol
_atom_site_fract_x
_atom_site_fract_y
_atom_site_fract_z
Tl1 Tl 0.000 0.000 0.000
Cu1 Cu 0.000 0.500 0.500
Cu2 Cu 0.500 0.000 0.500
Ni1 Ni 0.500 0.500 0.000

***

# TlCu2Ni (GGA-PBE, optimized geometry)
# Electronic total energy: -3.845 eV per atom
data_TlCu2Ni
_chemical_formula_sum 'Tl1 Cu2 Ni1'
_space_group_name_H-M_alt 'P 1'
_space_group_IT_number 1
_cell_length_a 2.959
_cell_length_b 3.307
_cell_length_c 6.011
_cell_angle_alpha 90.00
_cell_angle_beta 90.59
_cell_angle_gamma 90.00
loop_
_space_group_symop_operation_xyz
'x,y,z'
loop_
_atom_site_label
_atom_site_type_symbol
_atom_site_fract_x
_atom_site_fract_y
_atom_site_fract_z
Tl1 Tl 0.000 0.000 0.000
Cu1 Cu 0.492 0.500 0.308
Cu2 Cu 0.997 0.000 0.512
Ni1 Ni 0.501 0.500 0.724

***

# TmCu4Ni8 (GGA-PBE, optimized geometry)
# Electronic total energy: -5.236 eV per atom
data_TmCu4Ni8
_chemical_formula_sum 'Tm1 Cu4 Ni8'
_space_group_name_H-M_alt 'P 1'
_space_group_IT_number 1
_cell_length_a 6.302
_cell_length_b 6.302
_cell_length_c 6.302
_cell_angle_alpha 97.99
_cell_angle_beta 97.99
_cell_angle_gamma 136.22
loop_
_space_group_symop_operation_xyz
'x,y,z'
loop_
_atom_site_label
_atom_site_type_symbol
_atom_site_fract_x
_atom_site_fract_y
_atom_site_fract_z
Tm1 Tm 0.000 0.000 0.000
Cu1 Cu 0.000 0.000 0.500
Cu2 Cu 0.000 0.500 0.000
Cu3 Cu 0.500 0.000 0.000
Cu4 Cu 0.500 0.500 0.500
Ni1 Ni 0.000 0.357 0.357
Ni2 Ni 0.000 0.643 0.643
Ni3 Ni 0.280 0.500 0.780
Ni4 Ni 0.357 0.000 0.357
Ni5 Ni 0.500 0.280 0.780
Ni6 Ni 0.500 0.720 0.220
Ni7 Ni 0.643 0.000 0.643
Ni8 Ni 0.720 0.500 0.220

***

# Tm4CuNi2 (GGA-PBE, optimized geometry)
# Electronic total energy: -5.073 eV per atom
data_Tm4CuNi2
_chemical_formula_sum 'Tm8 Cu2 Ni4'
_space_group_name_H-M_alt 'P 1'
_space_group_IT_number 1
_cell_length_a 6.897
_cell_length_b 7.322
_cell_length_c 7.337
_cell_angle_alpha 107.86
_cell_angle_beta 107.54
_cell_angle_gamma 107.42
loop_
_space_group_symop_operation_xyz
'x,y,z'
loop_
_atom_site_label
_atom_site_type_symbol
_atom_site_fract_x
_atom_site_fract_y
_atom_site_fract_z
Tm1 Tm 0.000 0.000 0.000
Tm2 Tm 0.001 0.056 0.540
Tm3 Tm 0.088 0.570 0.705
Tm4 Tm 0.331 0.536 0.158
Tm5 Tm 0.500 0.922 0.670
Tm6 Tm 0.501 0.385 0.616
Tm7 Tm 0.588 0.089 0.185
Tm8 Tm 0.833 0.544 0.153
Cu1 Cu 0.242 0.907 0.297
Cu2 Cu 0.741 0.680 0.520
Ni1 Ni 0.064 0.337 0.332
Ni2 Ni 0.387 0.224 0.897
Ni3 Ni 0.563 0.714 0.952
Ni4 Ni 0.883 0.281 0.838

***

# TmCu2Ni9 (GGA-PBE, optimized geometry)
# Electronic total energy: -5.530 eV per atom
data_TmCu2Ni9
_chemical_formula_sum 'Tm2 Cu4 Ni18'
_space_group_name_H-M_alt 'P 1'
_space_group_IT_number 1
_cell_length_a 7.975
_cell_length_b 7.975
_cell_length_c 4.693
_cell_angle_alpha 90.00
_cell_angle_beta 90.00
_cell_angle_gamma 90.00
loop_
_space_group_symop_operation_xyz
'x,y,z'
loop_
_atom_site_label
_atom_site_type_symbol
_atom_site_fract_x
_atom_site_fract_y
_atom_site_fract_z
Tm1 Tm 0.000 0.000 0.000
Tm2 Tm 0.500 0.500 0.000
Cu1 Cu 0.115 0.385 0.000
Cu2 Cu 0.385 0.885 0.000
Cu3 Cu 0.615 0.115 0.000
Cu4 Cu 0.885 0.615 0.000
Ni1 Ni 0.000 0.500 0.500
Ni2 Ni 0.063 0.209 0.500
Ni3 Ni 0.179 0.679 0.239
Ni4 Ni 0.179 0.679 0.761
Ni5 Ni 0.209 0.937 0.500
Ni6 Ni 0.291 0.437 0.500
Ni7 Ni 0.321 0.179 0.239
Ni8 Ni 0.321 0.179 0.761
Ni9 Ni 0.437 0.709 0.500
Ni10 Ni 0.500 0.000 0.500
Ni11 Ni 0.563 0.291 0.500
Ni12 Ni 0.679 0.821 0.239
Ni13 Ni 0.679 0.821 0.761
Ni14 Ni 0.709 0.563 0.500
Ni15 Ni 0.791 0.063 0.500
Ni16 Ni 0.821 0.321 0.239
Ni17 Ni 0.821 0.321 0.761
Ni18 Ni 0.937 0.791 0.500

***

# Tm3Cu2Ni3 (GGA-PBE, optimized geometry)
# Electronic total energy: -5.244 eV per atom
data_Tm3Cu2Ni3
_chemical_formula_sum 'Tm12 Cu8 Ni12'
_space_group_name_H-M_alt 'P 1'
_space_group_IT_number 1
_cell_length_a 7.063
_cell_length_b 14.782
_cell_length_c 5.305
_cell_angle_alpha 90.00
_cell_angle_beta 90.00
_cell_angle_gamma 90.00
loop_
_space_group_symop_operation_xyz
'x,y,z'
loop_
_atom_site_label
_atom_site_type_symbol
_atom_site_fract_x
_atom_site_fract_y
_atom_site_fract_z
Tm1 Tm 0.031 0.103 0.136
Tm2 Tm 0.031 0.397 0.136
Tm3 Tm 0.171 0.250 0.617
Tm4 Tm 0.329 0.750 0.117
Tm5 Tm 0.469 0.603 0.636
Tm6 Tm 0.469 0.897 0.636
Tm7 Tm 0.531 0.103 0.364
Tm8 Tm 0.531 0.397 0.364
Tm9 Tm 0.671 0.250 0.883
Tm10 Tm 0.829 0.750 0.383
Tm11 Tm 0.969 0.603 0.864
Tm12 Tm 0.969 0.897 0.864
Cu1 Cu 0.118 0.612 0.366
Cu2 Cu 0.118 0.888 0.366
Cu3 Cu 0.382 0.112 0.866
Cu4 Cu 0.382 0.388 0.866
Cu5 Cu 0.618 0.612 0.134
Cu6 Cu 0.618 0.888 0.134
Cu7 Cu 0.882 0.112 0.634
Cu8 Cu 0.882 0.388 0.634
Ni1 Ni 0.179 0.031 0.586
Ni2 Ni 0.179 0.469 0.586
Ni3 Ni 0.185 0.750 0.623
Ni4 Ni 0.315 0.250 0.123
Ni5 Ni 0.321 0.531 0.086
Ni6 Ni 0.321 0.969 0.086
Ni7 Ni 0.679 0.031 0.914
Ni8 Ni 0.679 0.469 0.914
Ni9 Ni 0.685 0.750 0.877
Ni10 Ni 0.815 0.250 0.377
Ni11 Ni 0.821 0.531 0.414
Ni12 Ni 0.821 0.969 0.414

***

# TmCu10Ni2 (GGA-PBE, optimized geometry)
# Electronic total energy: -4.487 eV per atom
data_TmCu10Ni2
_chemical_formula_sum 'Tm1 Cu10 Ni2'
_space_group_name_H-M_alt 'P 1'
_space_group_IT_number 1
_cell_length_a 8.384
_cell_length_b 6.428
_cell_length_c 6.369
_cell_angle_alpha 81.86
_cell_angle_beta 49.38
_cell_angle_gamma 48.77
loop_
_space_group_symop_operation_xyz
'x,y,z'
loop_
_atom_site_label
_atom_site_type_symbol
_atom_site_fract_x
_atom_site_fract_y
_atom_site_fract_z
Tm1 Tm 0.000 0.000 0.000
Cu1 Cu 0.000 0.500 0.000
Cu2 Cu 0.004 0.647 0.353
Cu3 Cu 0.280 0.501 0.499
Cu4 Cu 0.353 0.996 0.004
Cu5 Cu 0.499 0.720 0.280
Cu6 Cu 0.500 0.000 0.500
Cu7 Cu 0.501 0.280 0.720
Cu8 Cu 0.647 0.004 0.996
Cu9 Cu 0.720 0.499 0.501
Cu10 Cu 0.996 0.353 0.647
Ni1 Ni 0.000 0.000 0.500
Ni2 Ni 0.500 0.500 0.000